The following is a PBE-GGA calculation of a geometry-optimized Sm2YCo structure, from the Alexandria database.

The structure belongs to space group R3m (No. 160, hexagonal axes); the cell edges are 3.8152, 3.8152 and 27.3819 Å and the angles 90.00°, 90.00° and 120.00°. The asymmetric unit holds Sm at (0.0000, 0.0000, 0.0000), Sm at (0.0000, 0.0000, 0.2181), Y at (0.0000, 0.0000, 0.4435) and Co at (0.0000, 0.0000, 0.6087).

The value obtained for the formation energy is 0.0445 eV/atom. The total energy is -5.708 eV per atom. Its density is 6.5 Mg/m³. For the distance to the lowest polymorph of the same formula, the calculation gives 155.3 meV per atom. As for the density of states at the Fermi level: 5.08 states/eV/f.u.

---

The following is a PBE-GGA calculation of a geometry-optimized LiNdTl2Br6 structure, from the Alexandria database.

The structure belongs to space group P2_1/c (No. 14); the cell edges are 7.663, 7.999 and 13.293 Å and the angles 90.00°, 124.65° and 90.00°. The asymmetric unit holds Li at (0.000, 0.000, 0.000), Nd at (0.500, 0.000, 0.500), Tl at (0.223, 0.073, 0.746), Br at (0.148, 0.205, 0.453), Br at (0.251, 0.700, 0.453) and Br at (0.337, 0.018, 0.243).

The total energy is -3.547 eV per atom. For the uncorrected formation energy, the calculation gives -1.40 eV per atom. Its density is 5.2 Mg/m³. As for the density of states at the Fermi level: 0.00 states/eV/f.u.

---

The following is a PBE-GGA calculation of a geometry-optimized CsV2NCl structure, from the Alexandria database.

The structure belongs to space group P4/mmm (No. 123); the cell edges are 4.165, 4.165 and 7.970 Å and the angles 90.00°, 90.00° and 90.00°. The asymmetric unit holds Cs at (0.000, 0.000, 0.000), V at (0.000, 0.500, 0.500), N at (0.000, 0.000, 0.500) and Cl at (0.500, 0.500, 0.000).

The total energy is -5.921 eV per atom. For the uncorrected formation energy, the calculation gives -0.07 eV per atom. Its density is 3.4 Mg/m³. As for the density of states at the Fermi level: 3.54 states/eV/f.u.

---

The following is a PBE-GGA calculation of a geometry-optimized Y2AgSe2 structure, from the Alexandria database.

The structure belongs to space group P4/mbm (No. 127); the cell edges are 7.931, 7.931 and 3.636 Å and the angles 90.00°, 90.00° and 90.00°. The asymmetric unit holds Y at (0.158, 0.342, 0.000), Ag at (0.000, 0.000, 0.500) and Se at (0.142, 0.642, 0.500).

The total energy is -5.741 eV per atom. For the uncorrected formation energy, the calculation gives -1.19 eV per atom. Its density is 6.4 Mg/m³. For the distance to the lowest polymorph of the same formula, the calculation gives 0.0 meV per atom. As for the density of states at the Fermi level: 2.61 states/eV/f.u.

---

The following is a PBE-GGA calculation of a geometry-optimized K2BaTeO6 structure, from the Alexandria database.

The structure belongs to space group P2_1/c (No. 14); the cell edges are 6.365, 6.395 and 11.017 Å and the angles 90.00°, 125.03° and 90.00°. The asymmetric unit holds K at (0.245, 0.021, 0.250), Ba at (0.500, 0.000, 0.000), Te at (0.000, 0.000, 0.500), O at (0.142, 0.241, 0.464), O at (0.213, 0.682, 0.972) and O at (0.270, 0.019, 0.710).

The total energy is -5.161 eV per atom. For the uncorrected formation energy, the calculation gives -1.46 eV per atom. Its density is 4.0 Mg/m³. As for the density of states at the Fermi level: 6.49 states/eV/f.u.

---

The following is a PBE-GGA calculation of a geometry-optimized NaMnGe2Rh structure, from the Alexandria database.

The structure belongs to space group P4/mmm (No. 123); the cell edges are 4.775, 4.775 and 4.581 Å and the angles 90.00°, 90.00° and 90.00°. The asymmetric unit holds Na at (0.000, 0.000, 0.000), Mn at (0.000, 0.000, 0.500), Ge at (0.000, 0.500, 0.000) and Rh at (0.500, 0.500, 0.500).

The value obtained for the formation energy is 1.4749 eV/atom. The total energy is -3.940 eV per atom. Its density is 5.2 Mg/m³. As for the density of states at the Fermi level: 3.90 states/eV/f.u.